# 1
Al3S4 after structural relaxation. Source: Alexandria via LeMat-Bulk, functional PBE.

Calculated values
SG: P-43m, No. 215
Crystal system: cubic
Formation energy without anion corrections in meV/atom: -837
Distance to the lowest polymorph of the same formula in meV/atom: 42.2

Cell lengths 5.254, 5.254, 5.254 Å; angles 90.00, 90.00, 90.00 degrees
Fractional coordinates of all 7 atoms:
Al 0.000 0.000 0.500
Al 0.000 0.500 0.000
Al 0.500 0.000 0.000
S 0.259 0.259 0.259
S 0.259 0.741 0.741
S 0.741 0.259 0.741
S 0.741 0.741 0.259

---

# 2
Na2TlIr after structural relaxation. Source: Alexandria via LeMat-Bulk, functional PBE.

Calculated values
SG: Fm-3m, No. 225
Crystal system: cubic
Distance to the lowest polymorph of the same formula in meV/atom: 62.6
Energy of formation from the pure elements in eV per atom: 0.459

Cell lengths 4.915, 4.915, 4.915 Å; angles 60.00, 60.00, 60.00 degrees
Fractional coordinates of all 4 atoms:
Na 0.250 0.250 0.250
Na 0.750 0.750 0.750
Tl 0.000 0.000 0.000
Ir 0.500 0.500 0.500

---

# 3
Li2VCr after structural relaxation. Source: Alexandria via LeMat-Bulk, functional PBE.

Calculated values
SG: I-42d, No. 122
Crystal system: tetragonal
Distance to the lowest polymorph of the same formula in meV/atom: 42.7
Energy of formation from the pure elements in eV per atom: 0.717

Cell lengths 5.508, 5.508, 5.508 Å; angles 100.73, 100.73, 128.88 degrees
Fractional coordinates of all 8 atoms:
Li 0.120 0.625 0.995
Li 0.375 0.370 0.495
Li 0.630 0.125 0.005
Li 0.875 0.880 0.505
V 0.250 0.750 0.500
V 0.500 0.500 0.000
Cr 0.000 0.000 0.000
Cr 0.750 0.250 0.500

---

# 4
Mg2Se2O5 after structural relaxation. Source: Alexandria via LeMat-Bulk, functional PBE.

Calculated values
SG: P-1, No. 2
Crystal system: triclinic
Formation energy without anion corrections in meV/atom: -1412

Cell lengths 3.306, 5.733, 6.358 Å; angles 82.18, 89.37, 83.32 degrees
Fractional coordinates of all 9 atoms:
Mg 0.023 0.269 0.070
Mg 0.977 0.731 0.930
Se 0.378 0.203 0.583
Se 0.622 0.797 0.417
O 0.022 0.298 0.386
O 0.115 0.079 0.809
O 0.500 0.500 0.000
O 0.885 0.921 0.191
O 0.978 0.702 0.614

---

# 5
ErNbOs after structural relaxation. Source: Alexandria via LeMat-Bulk, functional PBE.

Calculated values
SG: Amm2, No. 38
Crystal system: orthorhombic
Distance to the lowest polymorph of the same formula in meV/atom: 0.0
Energy of formation from the pure elements in eV per atom: -0.237

Cell lengths 8.872, 5.533, 5.533 Å; angles 61.11, 90.00, 90.00 degrees
Fractional coordinates of all 12 atoms:
Er 0.174 0.000 0.000
Er 0.301 0.333 0.333
Er 0.699 0.333 0.333
Er 0.826 0.000 0.000
Nb 0.232 0.669 0.669
Nb 0.500 0.324 0.832
Nb 0.500 0.832 0.324
Nb 0.768 0.669 0.669
Os 0.000 0.011 0.495
Os 0.000 0.489 0.489
Os 0.000 0.495 0.011
Os 0.500 0.833 0.833

---

# 6
LaPr3Ni after structural relaxation. Source: Alexandria via LeMat-Bulk, functional PBE.

Calculated values
SG: Pm-3m, No. 221
Crystal system: cubic
Distance to the lowest polymorph of the same formula in meV/atom: 140.5
Energy of formation from the pure elements in eV per atom: 0.023

Cell lengths 5.564, 5.564, 5.564 Å; angles 90.00, 90.00, 90.00 degrees
Fractional coordinates of all 5 atoms:
La 0.000 0.000 0.000
Pr 0.000 0.500 0.500
Pr 0.500 0.000 0.500
Pr 0.500 0.500 0.000
Ni 0.500 0.500 0.500

---

# 7
BaLiCdIn after structural relaxation. Source: Alexandria via LeMat-Bulk, functional PBE.

Calculated values
SG: F-43m, No. 216
Crystal system: cubic
Distance to the lowest polymorph of the same formula in meV/atom: 41.7
Energy of formation from the pure elements in eV per atom: -0.270

Cell lengths 5.412, 5.412, 5.412 Å; angles 60.00, 60.00, 60.00 degrees
Fractional coordinates of all 4 atoms:
Ba 0.000 0.000 0.000
Li 0.750 0.750 0.750
Cd 0.250 0.250 0.250
In 0.500 0.500 0.500

---

# 8
Pm2NiSb4Pt3 after structural relaxation. Source: Alexandria via LeMat-Bulk, functional PBE.

Calculated values
SG: P-4m2, No. 115
Crystal system: tetragonal
Formation energy without anion corrections in meV/atom: -747

Cell lengths 4.551, 4.551, 10.812 Å; angles 90.00, 90.00, 90.00 degrees
Fractional coordinates of all 10 atoms:
Pm 0.000 0.500 0.227
Pm 0.500 0.000 0.773
Ni 0.500 0.500 0.000
Sb 0.000 0.000 0.500
Sb 0.000 0.500 0.877
Sb 0.500 0.000 0.123
Sb 0.500 0.500 0.500
Pt 0.000 0.000 0.000
Pt 0.000 0.500 0.636
Pt 0.500 0.000 0.364

---

# 9
CdCu4 after structural relaxation. Source: Alexandria via LeMat-Bulk, functional PBE.

Calculated values
SG: Im-3m, No. 229
Crystal system: cubic
Distance to the lowest polymorph of the same formula in meV/atom: 695.5
Energy of formation from the pure elements in eV per atom: 0.753

Cell lengths 4.971, 4.971, 4.971 Å; angles 109.47, 109.47, 109.47 degrees
Fractional coordinates of all 5 atoms:
Cd 0.000 0.000 0.000
Cu 0.000 0.000 0.500
Cu 0.000 0.500 0.000
Cu 0.500 0.000 0.000
Cu 0.500 0.500 0.500

---

# 10
KRb3O after structural relaxation. Source: Alexandria via LeMat-Bulk, functional PBE.

Calculated values
SG: Pmma, No. 51
Crystal system: orthorhombic
Formation energy without anion corrections in meV/atom: -576
Distance to the lowest polymorph of the same formula in meV/atom: 0.0

Cell lengths 11.989, 4.348, 10.128 Å; angles 90.00, 90.00, 90.00 degrees
Fractional coordinates of all 10 atoms:
K 0.250 0.000 0.013
K 0.750 0.000 0.987
Rb 0.093 0.500 0.758
Rb 0.250 0.000 0.488
Rb 0.407 0.500 0.758
Rb 0.593 0.500 0.242
Rb 0.750 0.000 0.512
Rb 0.907 0.500 0.242
O 0.250 0.000 0.757
O 0.750 0.000 0.243

---

# 11
CdPtBr after structural relaxation. Source: Alexandria via LeMat-Bulk, functional PBE.

Calculated values
SG: P3m1, No. 156
Crystal system: trigonal
Formation energy without anion corrections in meV/atom: 206
Distance to the lowest polymorph of the same formula in meV/atom: 170.8

Cell lengths 4.665, 4.665, 3.277 Å; angles 90.00, 90.00, 120.00 degrees
Fractional coordinates of all 3 atoms:
Cd 0.000 0.000 0.000
Pt 0.333 0.667 0.395
Br 0.667 0.333 0.509

---

# 12
Sm3Dy6Tm after structural relaxation. Source: Alexandria via LeMat-Bulk, functional PBE.

Calculated values
SG: C2/m, No. 12
Crystal system: monoclinic
Distance to the lowest polymorph of the same formula in meV/atom: 76.8
Energy of formation from the pure elements in eV per atom: 0.226

Cell lengths 6.620, 6.620, 9.596 Å; angles 110.66, 110.66, 59.64 degrees
Fractional coordinates of all 10 atoms:
Sm 0.000 0.000 0.000
Sm 0.069 0.069 0.697
Sm 0.931 0.931 0.303
Dy 0.067 0.561 0.690
Dy 0.362 0.362 0.077
Dy 0.439 0.933 0.310
Dy 0.561 0.067 0.690
Dy 0.638 0.638 0.923
Dy 0.933 0.439 0.310
Tm 0.500 0.500 0.500

---

# 13
TiZn after structural relaxation. Source: Alexandria via LeMat-Bulk, functional PBE.

Calculated values
SG: Amm2, No. 38
Crystal system: orthorhombic
Energy of formation from the pure elements in eV per atom: 0.178

Cell lengths 2.867, 6.482, 6.482 Å; angles 113.63, 90.00, 90.00 degrees
Fractional coordinates of all 6 atoms:
Ti 0.000 0.000 0.000
Ti 0.500 0.185 0.413
Ti 0.500 0.413 0.185
Zn 0.000 0.308 0.804
Zn 0.000 0.598 0.598
Zn 0.000 0.804 0.308

---

Final energy, record by record: -33.60 -12.03 -39.41 -47.66 -106.29 -24.93 -8.57 -57.36 -13.53 -23.67 -8.01 -43.98 -26.44 eV per cell